No. 1
Below is a relaxed Be2Zn crystal, with properties calculated at the PBE level.

a = 2.5679 Å, b = 3.7797 Å, c = 6.7556 Å
α = 90.00°, β = 90.00°, γ = 90.00°
Last column: nearest neighbours and their distance in Å.
Space group Immm (No. 71)
Symmetry-distinct sites (fractional):
1 Be 0.0000 0.0000 0.2013  4 Zn 2.33-2.39, 6 Be 2.38-2.57
2 Zn 0.0000 0.5000 0.0000  8 Be 2.33-2.39, 2 Zn 2.57

The formation energy is 0.2455 eV per atom. The value obtained for the size of the total moment is 0.00 Bohr magnetons per cell.

---

No. 2
Below is a relaxed Be2Zn3 crystal, with properties calculated at the PBE level.

a = 2.6438 Å, b = 2.6438 Å, c = 30.4245 Å
α = 90.00°, β = 90.00°, γ = 120.00°
Last column: nearest neighbours and their distance in Å.
Space group R-3m (No. 166, hexagonal axes)
Symmetry-distinct sites (fractional):
1 Be 0.0000 0.0000 0.1037  6 Zn 2.45-2.48, 6 Be 2.64
2 Zn 0.0000 0.0000 0.2938  3 Be 2.48, 6 Zn 2.64
3 Zn 0.0000 0.0000 0.5000  6 Be 2.45, 6 Zn 2.64

The formation energy is 0.2438 eV per atom. The value obtained for the size of the total moment is 0.00 Bohr magnetons per cell.

---

No. 3
Below is a relaxed Be2Zn crystal, with properties calculated at the PBE level.

a = 2.5399 Å, b = 12.6454 Å, c = 3.8123 Å
α = 90.00°, β = 90.00°, γ = 90.00°
Last column: nearest neighbours and their distance in Å.
Space group Cmcm (No. 63)
Symmetry-distinct sites (fractional):
1 Be 0.0000 0.0569 0.2500  6 Be 2.39-2.54, 6 Zn 2.39-2.48
2 Be 0.0000 0.2769 0.7500  4 Zn 2.37-2.45, 8 Be 2.39-2.54
3 Zn 0.0000 0.3889 0.2500  10 Be 2.37-2.48, 2 Zn 2.54

The formation energy is 0.1661 eV per atom. The value obtained for the size of the total moment is 0.00 Bohr magnetons per cell.